Material: ZrMoF2
Method: DFT, PBE+U
State: relaxed

Geometry as POSCAR:
```
ZrMoF2
1.0
5.907 1.389 5.107
5.297 -1.301 5.758
7.033 -0.726 3.594
Mo Zr F
1 1 2
direct
0.000 0.000 0.000 Mo
0.500 0.500 0.500 Zr
0.903 0.903 0.903 F
0.097 0.097 0.097 F
```

Summary:
As for the raw total energy: -23.43 eV per cell. The energy above the most stable polymorph in this dataset is 101.5 meV/atom. The space group is R-3m (166).